No. 1
Computed, not measured: a relaxed Na2NbInAg crystal at the PBE-GGA level of DFT.

**Density of states at the Fermi level**: 0.613 states/eV/atom
**Spin magnetization**: 0.519 μB/atom
**Calculated formation energy**: 1.02 eV/atom

Cell and atoms, written as POSCAR:
```
Na2NbInAg
1.0
5.477 0.000 0.000
0.000 5.427 0.000
0.000 0.000 5.477
Ag Nb Na In
1 1 2 1
direct
0.500 0.500 0.500
0.000 0.500 0.000
0.500 0.000 0.000
0.000 0.000 0.500
0.000 0.000 0.000
```

=====

No. 2
Computed, not measured: a relaxed NaNdInAg crystal at the PBE-GGA level of DFT.

**Density of states at the Fermi level**: 0.801 states/eV/atom
**Spin magnetization**: 0.000 μB/atom
**Calculated formation energy**: -0.20 eV/atom

Cell and atoms, written as POSCAR:
```
NaNdInAg
1.0
-0.629 5.139 -0.987
-4.751 2.221 0.520
-0.923 3.350 3.962
Ag In Na Nd
1 1 1 1
direct
0.250 0.250 0.250
0.750 0.750 0.750
0.500 0.500 0.500
0.000 0.000 0.000
```

=====

No. 3
Computed, not measured: a relaxed NaIn2NiAg crystal at the PBE-GGA level of DFT.

**Density of states at the Fermi level**: 0.391 states/eV/atom
**Spin magnetization**: 0.000 μB/atom
**Calculated formation energy**: 0.02 eV/atom
**Polymorph energy (0 for the lowest one)**: 0.0000 eV per atom

Cell and atoms, written as POSCAR:
```
NaIn2NiAg
1.0
-3.104 -3.758 -0.468
2.898 -2.747 2.834
-2.558 1.594 4.161
In Na Ag Ni
2 1 1 1
direct
0.000 0.500 0.000
0.500 0.000 0.000
0.500 0.500 0.500
0.000 0.000 0.500
0.000 0.000 0.000
```

=====

Per-record energy, eV/atom: -2.644, -3.115, -3.067